DFT (meta-GGA SCAN) results for a crystal of BaZrZn2 relaxed with PBEsol.

Geometry as CIF:
```
data_BaZrZn2
_chemical_formula_sum 'Ba1 Zr1 Zn2'
_cell_length_a 3.480
_cell_length_b 3.480
_cell_length_c 7.650
_cell_angle_alpha 90.00
_cell_angle_beta 90.00
_cell_angle_gamma 90.00
_space_group_name_H-M_alt 'P 1'
_space_group_IT_number 1
loop_
_space_group_symop_operation_xyz
'x,y,z'
loop_
_atom_site_label
_atom_site_type_symbol
_atom_site_fract_x
_atom_site_fract_y
_atom_site_fract_z
Ba1 Ba 0.000 0.000 0.000
Zr1 Zr 0.000 0.000 0.500
Zn1 Zn 0.500 0.500 0.315
Zn2 Zn 0.500 0.500 0.685
```

Calculated values
* ΔH_f (0 K): -61 kJ/mol of formula units
* size of the total moment: 0.0 Bohr magnetons per cell
* total DFT energy (no corrections): -24.48 eV per atom
* mass density: 6.4 g/cm³